Entry 1:
DFT (PBE-GGA) results for RbAgPS2 after structural relaxation.

a b c (Å): 5.8047 5.8047 6.0909
angles (deg): 90.00 90.00 90.00
Element x y z (fractional)
S1 0.5000 0.0000 0.0000
S2 0.0000 0.5000 0.0000
Rb1 0.0000 0.0000 0.0000
Ag1 0.5000 0.5000 0.5000
P1 0.0000 0.0000 0.5000

Properties
density	2.334	g/cm3
density of states at the Fermi level	7.55	states/eV/cell
space-group type	P4/mmm, No. 123
ΔE_f (raw)	7.81	eV per formula unit
excess energy over the best structure of this formula in the dataset	1230.2	meV/atom


Entry 2:
DFT (PBE-GGA) results for Rb3AgP2S6 after structural relaxation.

a b c (Å): 7.0201 7.0201 9.0408
angles (deg): 90.00 90.00 120.00
Element x y z (fractional)
Rb1 0.3333 0.6667 0.6460
Rb2 0.0000 0.0000 0.0000
Rb3 0.6667 0.3333 0.3540
P1 0.6667 0.3333 0.7518
P2 0.3333 0.6667 0.2482
S1 0.1692 0.8308 0.2985
S2 0.6616 0.8308 0.2985
S3 0.1692 0.3384 0.2985
S4 0.3384 0.1692 0.7015
S5 0.8308 0.6616 0.7015
S6 0.8308 0.1692 0.7015
Ag1 0.0000 0.0000 0.5000

Properties
density	2.662	g/cm3
density of states at the Fermi level	2.68	states/eV/cell
space-group type	P-3m1, No. 164
ΔE_f (raw)	-7.47	eV per formula unit


Entry 3:
DFT (PBE-GGA) results for RbAgPSe4 after structural relaxation.

a b c (Å): 6.9788 6.7838 9.7807
angles (deg): 90.00 102.52 90.00
Element x y z (fractional)
Se1 0.9693 0.5005 0.6926
Se2 0.0307 0.4995 0.3074
Se3 0.0307 0.0005 0.3074
Se4 0.6651 0.2500 0.9018
Se5 0.5186 0.2500 0.5096
Se6 0.4814 0.7500 0.4904
Se7 0.9693 0.9995 0.6926
Se8 0.3349 0.7500 0.0982
P1 0.2396 0.7500 0.2961
P2 0.7604 0.2500 0.7039
Ag1 0.1622 0.2500 0.5523
Ag2 0.8378 0.7500 0.4477
Rb1 0.7871 0.7500 0.9789
Rb2 0.2129 0.2500 0.0211

Properties
density	3.968	g/cm3
density of states at the Fermi level	5.07	states/eV/cell
space-group type	P2_1/m, No. 11
ΔE_f (raw)	-2.35	eV per formula unit


Entry 4:
DFT (PBE-GGA) results for RbAgP2Se8 after structural relaxation.

a b c (Å): 5.8871 6.6535 11.2697
angles (deg): 70.68 74.86 63.74
Element x y z (fractional)
Se1 0.7470 0.5010 0.0049
Se2 0.6561 0.9684 0.2209
Se3 0.1009 0.4616 0.3366
Se4 0.1545 0.9684 0.2209
Se5 0.8455 0.0316 0.7791
Se6 0.3439 0.0316 0.7791
Se7 0.2530 0.4990 0.9951
Se8 0.8991 0.5384 0.6634
P1 0.7294 0.7339 0.8072
P2 0.2706 0.2661 0.1928
Ag1 0.0000 0.0000 0.0000
Rb1 0.5000 0.5000 0.5000

Properties
density	3.979	g/cm3
density of states at the Fermi level	6.68	states/eV/cell
space-group type	C2/m, No. 12
ΔE_f (raw)	-1.68	eV per formula unit